Density functional theory data (PBE) for an optimized crystal structure of Tl4Pb5.

Cell lengths 7.9086, 7.9086, 7.9086 Å; angles 95.74, 95.74, 143.13 degrees
Fractional positions:
1 Tl 0.0000 0.3317 0.3317
2 Tl 0.0000 0.6683 0.6683
3 Tl 0.3317 0.0000 0.3317
4 Tl 0.6683 0.0000 0.6683
5 Pb 0.0000 0.0000 0.0000
6 Pb 0.3343 0.3343 0.6687
7 Pb 0.3343 0.6657 0.0000
8 Pb 0.6657 0.3343 0.0000
9 Pb 0.6657 0.6657 0.3313

Computed properties:
**Calculated volume**: 281.6 Å³ per cell
**Total energy**: -3.120 eV/atom
**ΔH_f (0 K)**: -1 kJ/mol of atoms
**Symmetry**: I4/mmm, No. 139

***

Density functional theory data (PBE) for an optimized crystal structure of ZrCr2Cd.

Cell lengths 5.2765, 5.2765, 5.2765 Å; angles 135.20, 135.20, 65.22 degrees
Fractional positions:
1 Zr 0.0000 0.0000 0.0000
2 Cr 0.5000 0.5000 0.0000
3 Cr 0.7500 0.2500 0.5000
4 Cd 0.2500 0.7500 0.5000

Computed properties:
**Calculated volume**: 71.9 Å³ per cell
**Total energy**: -6.734 eV/atom
**ΔH_f (0 K)**: 43 kJ/mol of atoms
**Symmetry**: I-4m2, No. 119

***

Density functional theory data (PBE) for an optimized crystal structure of DyPuHf2As4.

Cell lengths 6.8502, 3.9586, 6.9156 Å; angles 90.00, 109.28, 90.00 degrees
Fractional positions:
1 Dy 0.0000 0.0000 0.0000
2 Pu 0.5000 0.5000 0.0000
3 Hf 0.0000 0.5000 0.5000
4 Hf 0.5000 0.0000 0.5000
5 As 0.2435 0.0000 0.7321
6 As 0.2553 0.5000 0.2677
7 As 0.7447 0.5000 0.7323
8 As 0.7565 0.0000 0.2679

Computed properties:
**Calculated volume**: 177.0 Å³ per cell
**Total energy**: -8.349 eV/atom
**ΔH_f (0 K)**: -113 kJ/mol of atoms
**Symmetry**: P2/m, No. 10

***

Density functional theory data (PBE) for an optimized crystal structure of SmDyAsO2.

Cell lengths 7.0455, 7.0455, 7.0455 Å; angles 148.40, 148.40, 45.29 degrees
Fractional positions:
1 Sm 0.0000 0.0000 0.0000
2 Dy 0.3192 0.3192 0.0000
3 As 0.6597 0.6597 0.0000
4 O 0.4052 0.9052 0.5000
5 O 0.9052 0.4052 0.5000

Computed properties:
**Calculated volume**: 95.7 Å³ per cell
**Total energy**: -7.424 eV/atom
**Energy relative to the elements, uncorrected**: -61.04 kcal/mol of atoms
**Symmetry**: I4mm, No. 107

***

Density functional theory data (PBE) for an optimized crystal structure of ErAlZn2Ga.

Cell lengths 5.9282, 5.9282, 8.6313 Å; angles 90.00, 90.00, 138.83 degrees
Fractional positions:
1 Er 0.1968 0.8032 0.7500
2 Er 0.8032 0.1968 0.2500
3 Al 0.4841 0.5159 0.7500
4 Al 0.5159 0.4841 0.2500
5 Zn 0.3462 0.6538 0.0173
6 Zn 0.3462 0.6538 0.4827
7 Zn 0.6538 0.3462 0.5173
8 Zn 0.6538 0.3462 0.9827
9 Ga 0.0000 0.0000 0.0000
10 Ga 0.0000 0.0000 0.5000

Computed properties:
**Calculated volume**: 199.7 Å³ per cell
**Total energy**: -2.919 eV/atom
**ΔH_f (0 K)**: -14 kJ/mol of atoms
**Symmetry**: Cmcm, No. 63

***

Density functional theory data (PBE) for an optimized crystal structure of BeTl2Ag.

Cell lengths 3.4271, 3.4271, 7.4014 Å; angles 90.00, 90.00, 100.02 degrees
Fractional positions:
1 Be 0.0000 0.0000 0.0000
2 Tl 0.5000 0.5000 0.2234
3 Tl 0.5000 0.5000 0.7766
4 Ag 0.0000 0.0000 0.5000

Computed properties:
**Calculated volume**: 85.6 Å³ per cell
**Total energy**: -2.337 eV/atom
**ΔH_f (0 K)**: 47 kJ/mol of atoms
**Symmetry**: Cmmm, No. 65

***

Density functional theory data (PBE) for an optimized crystal structure of Pu2HfThAs4.

Cell lengths 7.0792, 4.1043, 7.1136 Å; angles 90.00, 109.36, 90.00 degrees
Fractional positions:
1 Pu 0.0000 0.0000 0.0000
2 Pu 0.0000 0.5000 0.5000
3 Hf 0.5000 0.0000 0.5000
4 Th 0.5000 0.5000 0.0000
5 As 0.2518 0.0000 0.7344
6 As 0.2615 0.5000 0.2687
7 As 0.7385 0.5000 0.7313
8 As 0.7482 0.0000 0.2656

Computed properties:
**Calculated volume**: 195.0 Å³ per cell
**Total energy**: -9.201 eV/atom
**ΔH_f (0 K)**: -108 kJ/mol of atoms
**Symmetry**: P2/m, No. 10

***

Density functional theory data (PBE) for an optimized crystal structure of PbBr.

Cell lengths 6.5002, 4.9451, 4.0066 Å; angles 90.00, 90.00, 90.00 degrees
Fractional positions:
1 Pb 0.2500 0.0000 0.1373
2 Pb 0.7500 0.0000 0.8627
3 Br 0.2500 0.5000 0.7044
4 Br 0.7500 0.5000 0.2956

Computed properties:
**Calculated volume**: 128.8 Å³ per cell
**Total energy**: -3.151 eV/atom
**Energy relative to the elements, uncorrected**: -10.61 kcal/mol of atoms
**Symmetry**: Pmma, No. 51

***

Density functional theory data (PBE) for an optimized crystal structure of PaTlGa4.

Cell lengths 5.5878, 5.5878, 5.5878 Å; angles 60.00, 60.00, 60.00 degrees
Fractional positions:
1 Pa 0.0000 0.0000 0.0000
2 Tl 0.2500 0.2500 0.2500
3 Ga 0.1241 0.6253 0.6253
4 Ga 0.6253 0.1241 0.6253
5 Ga 0.6253 0.6253 0.1241
6 Ga 0.6253 0.6253 0.6253

Computed properties:
**Calculated volume**: 123.4 Å³ per cell
**Total energy**: -3.995 eV/atom
**ΔH_f (0 K)**: 0 kJ/mol of atoms
**Symmetry**: F-43m, No. 216

***

Density functional theory data (PBE) for an optimized crystal structure of OsWAu3.

Cell lengths 4.9699, 4.9699, 4.9699 Å; angles 90.00, 90.00, 90.00 degrees
Fractional positions:
1 Os 0.0000 0.0000 0.0000
2 W 0.5000 0.5000 0.5000
3 Au 0.0000 0.0000 0.5000
4 Au 0.0000 0.5000 0.0000
5 Au 0.5000 0.0000 0.0000

Computed properties:
**Calculated volume**: 122.8 Å³ per cell
**Total energy**: -4.663 eV/atom
**ΔH_f (0 K)**: 206 kJ/mol of atoms
**Symmetry**: Pm-3m, No. 221

***

Density functional theory data (PBE) for an optimized crystal structure of LiThCu2.

Cell lengths 3.2956, 3.2956, 6.6443 Å; angles 90.00, 90.00, 90.00 degrees
Fractional positions:
1 Li 0.0000 0.0000 0.0000
2 Th 0.0000 0.0000 0.5000
3 Cu 0.5000 0.5000 0.1919
4 Cu 0.5000 0.5000 0.8081

Computed properties:
**Calculated volume**: 72.2 Å³ per cell
**Total energy**: -4.371 eV/atom
**ΔH_f (0 K)**: 1 kJ/mol of atoms
**Symmetry**: P4/mmm, No. 123

***

Density functional theory data (PBE) for an optimized crystal structure of TiTlAgO3.

Cell lengths 6.5599, 6.5599, 5.5232 Å; angles 90.00, 90.00, 126.53 degrees
Fractional positions:
1 Ti 0.0503 0.9497 0.7500
2 Ti 0.9497 0.0503 0.2500
3 Tl 0.2693 0.7307 0.2500
4 Tl 0.7307 0.2693 0.7500
5 Ag 0.4011 0.5989 0.7500
6 Ag 0.5989 0.4011 0.2500
7 O 0.2036 0.7964 0.7500
8 O 0.2131 0.2131 0.0000
9 O 0.2131 0.2131 0.5000
10 O 0.7869 0.7869 0.0000
11 O 0.7869 0.7869 0.5000
12 O 0.7964 0.2036 0.2500

Computed properties:
**Calculated volume**: 191.0 Å³ per cell
**Total energy**: -6.346 eV/atom
**Energy relative to the elements, uncorrected**: -38.78 kcal/mol of atoms
**Symmetry**: Cmcm, No. 63

***

Density functional theory data (PBE) for an optimized crystal structure of LiMgAl4.

Cell lengths 8.1172, 4.0005, 6.6189 Å; angles 90.00, 90.00, 90.00 degrees
Fractional positions:
1 Li 0.2500 0.0000 0.2330
2 Li 0.7500 0.0000 0.7670
3 Mg 0.2500 0.0000 0.6369
4 Mg 0.7500 0.0000 0.3631
5 Al 0.0000 0.0000 0.0000
6 Al 0.0321 0.5000 0.3009
7 Al 0.2500 0.5000 0.9633
8 Al 0.4679 0.5000 0.3009
9 Al 0.5000 0.0000 0.0000
10 Al 0.5321 0.5000 0.6991
11 Al 0.7500 0.5000 0.0367
12 Al 0.9679 0.5000 0.6991

Computed properties:
**Calculated volume**: 214.9 Å³ per cell
**Total energy**: -3.047 eV/atom
**ΔH_f (0 K)**: 3 kJ/mol of atoms
**Symmetry**: Pmma, No. 51

***

Density functional theory data (PBE) for an optimized crystal structure of Fe2TcPt.

Cell lengths 4.5908, 4.5908, 2.6696 Å; angles 90.00, 90.00, 108.20 degrees
Fractional positions:
1 Fe 0.0000 0.5000 0.0000
2 Fe 0.5000 0.0000 0.0000
3 Tc 0.0000 0.0000 0.5000
4 Pt 0.5000 0.5000 0.5000

Computed properties:
**Calculated volume**: 53.4 Å³ per cell
**Total energy**: -8.308 eV/atom
**ΔH_f (0 K)**: 2 kJ/mol of atoms
**Symmetry**: Cmmm, No. 65

***

Density functional theory data (PBE) for an optimized crystal structure of Tc2PPt2.

Cell lengths 6.9187, 6.9187, 6.9187 Å; angles 150.08, 150.08, 42.82 degrees
Fractional positions:
1 Tc 0.0947 0.0947 0.0000
2 Tc 0.9053 0.9053 0.0000
3 P 0.5000 0.5000 0.0000
4 Pt 0.2500 0.7500 0.5000
5 Pt 0.7500 0.2500 0.5000

Computed properties:
**Calculated volume**: 82.2 Å³ per cell
**Total energy**: -7.287 eV/atom
**ΔH_f (0 K)**: 35 kJ/mol of atoms
**Symmetry**: I4/mmm, No. 139

***

Density functional theory data (PBE) for an optimized crystal structure of NaI2F.

Cell lengths 8.9046, 8.9046, 8.9046 Å; angles 139.66, 139.66, 58.36 degrees
Fractional positions:
1 Na 0.0000 0.0000 0.0000
2 Na 0.7500 0.2500 0.5000
3 I 0.2044 0.6250 0.0794
4 I 0.3750 0.4544 0.5794
5 I 0.5456 0.1250 0.9206
6 I 0.8750 0.7956 0.4206
7 F 0.2500 0.7500 0.5000
8 F 0.5000 0.5000 0.0000

Computed properties:
**Calculated volume**: 293.1 Å³ per cell
**Total energy**: -2.126 eV/atom
**Energy relative to the elements, uncorrected**: -12.76 kcal/mol of atoms
**Symmetry**: I-42d, No. 122

***

Density functional theory data (PBE) for an optimized crystal structure of InOs3Se.

Cell lengths 4.9245, 4.9245, 4.9245 Å; angles 90.00, 90.00, 90.00 degrees
Fractional positions:
1 In 0.0000 0.0000 0.0000
2 Os 0.0000 0.0000 0.5000
3 Os 0.0000 0.5000 0.0000
4 Os 0.5000 0.0000 0.0000
5 Se 0.5000 0.5000 0.5000

Computed properties:
**Calculated volume**: 119.4 Å³ per cell
**Total energy**: -4.956 eV/atom
**Energy relative to the elements, uncorrected**: 69.80 kcal/mol of atoms
**Symmetry**: Pm-3m, No. 221

***

Density functional theory data (PBE) for an optimized crystal structure of NaPdN.

Cell lengths 5.3176, 5.3176, 5.3176 Å; angles 147.51, 147.51, 46.61 degrees
Fractional positions:
1 Na 0.0000 0.0000 0.0000
2 Pd 0.7255 0.7255 0.0000
3 N 0.2793 0.2793 0.0000

Computed properties:
**Calculated volume**: 43.2 Å³ per cell
**Total energy**: -4.488 eV/atom
**Energy relative to the elements, uncorrected**: 10.56 kcal/mol of atoms
**Symmetry**: I4mm, No. 107

***

Density functional theory data (PBE) for an optimized crystal structure of K4TaSi.

Cell lengths 6.6320, 6.6320, 6.6320 Å; angles 60.00, 60.00, 60.00 degrees
Fractional positions:
1 K 0.1243 0.1243 0.1243
2 K 0.1243 0.1243 0.6271
3 K 0.1243 0.6271 0.1243
4 K 0.6271 0.1243 0.1243
5 Ta 0.5000 0.5000 0.5000
6 Si 0.7500 0.7500 0.7500

Computed properties:
**Calculated volume**: 206.3 Å³ per cell
**Total energy**: -2.226 eV/atom
**Energy relative to the elements, uncorrected**: 31.94 kcal/mol of atoms
**Symmetry**: F-43m, No. 216

***

Density functional theory data (PBE) for an optimized crystal structure of Zr2TcOs.

Cell lengths 9.6625, 9.6625, 9.6625 Å; angles 17.78, 17.78, 17.78 degrees
Fractional positions:
1 Zr 0.0000 0.0000 0.0000
2 Zr 0.2384 0.2384 0.2384
3 Tc 0.7522 0.7522 0.7522
4 Os 0.4877 0.4877 0.4877

Computed properties:
**Calculated volume**: 73.4 Å³ per cell
**Total energy**: -9.428 eV/atom
**ΔH_f (0 K)**: 24 kJ/mol of atoms
**Symmetry**: R3m, No. 160

***

Density functional theory data (PBE) for an optimized crystal structure of LiTbH2.

Cell lengths 5.7069, 5.7069, 5.7069 Å; angles 33.28, 33.28, 33.28 degrees
Fractional positions:
1 Li 0.0000 0.0000 0.0000
2 Tb 0.5000 0.5000 0.5000
3 H 0.2580 0.2580 0.2580
4 H 0.7420 0.7420 0.7420

Computed properties:
**Calculated volume**: 49.8 Å³ per cell
**Total energy**: -3.602 eV/atom
**Symmetry**: R-3m, No. 166

***

Density functional theory data (PBE) for an optimized crystal structure of La8Ru3I4O.

Cell lengths 8.2646, 8.2646, 9.5477 Å; angles 115.67, 115.67, 59.85 degrees
Fractional positions:
1 La 0.2210 0.7361 0.6774
2 La 0.2229 0.2229 0.6784
3 La 0.2639 0.7790 0.3226
4 La 0.2692 0.2692 0.3080
5 La 0.7308 0.7308 0.6920
6 La 0.7361 0.2210 0.6774
7 La 0.7771 0.7771 0.3216
8 La 0.7790 0.2639 0.3226
9 Ru 0.0000 0.5000 0.5000
10 Ru 0.5000 0.0000 0.5000
11 Ru 0.5000 0.5000 0.5000
12 I 0.0000 0.0000 0.0000
13 I 0.0000 0.5000 0.0000
14 I 0.5000 0.0000 0.0000
15 I 0.5000 0.5000 0.0000
16 O 0.0000 0.0000 0.5000

Computed properties:
**Calculated volume**: 488.5 Å³ per cell
**Total energy**: -5.955 eV/atom
**Energy relative to the elements, uncorrected**: -24.32 kcal/mol of atoms
**Symmetry**: C2/m, No. 12